RbNaN2F8 | PBE | optimized geometry

magnetization: 0.128 μB per formula unit
energy relative to the elements, uncorrected: -12.6 eV/f.u.
crystal system: monoclinic
N(E_F): 0.0 states/eV/f.u.

Cell lengths 6.4356, 5.4306, 7.8413 Å; angles 77.58, 65.77, 53.66 degrees
Closest atoms and distances in Å follow each position.
Atoms (fractional coordinates):
N 0.6987 0.8051 0.7976  3 F 1.40-1.43
F 0.5119 0.9359 0.7001  1 N 1.43
Na 0.0000 0.0000 0.0000  2 F 2.10
F 0.7141 0.4291 0.1428  1 Na 2.10
N 0.3013 0.1949 0.2024  3 F 1.40-1.43
Rb 0.5000 0.5000 0.5000  2 F 2.56
F 0.4881 0.0641 0.2999  1 N 1.43
F 0.2859 0.5709 0.8572  1 Na 2.10
F 0.1480 0.0641 0.2999  1 N 1.43
F 0.8520 0.9359 0.7001  1 N 1.43
F 0.1124 0.4938 0.2814  1 N 1.40
F 0.8876 0.5062 0.7186  1 N 1.40